This record from Alexandria via LeMat-Bulk describes a geometry-optimized AlNi7As2 structure. The functional is PBE-GGA.

Lattice parameters (Å, degrees): 3.6605 3.6605 9.8119 100.75 100.75 90.00
With the nearest neighbours (Å) after each atom.
Positions (direct):
Ni: 0.5000 0.5000 0.0000  8 Ni 2.52, 4 Al 2.59
Al: 0.0000 0.0000 0.0000  12 Ni 2.52-2.59
Ni: 0.2500 0.7500 0.5000  4 As 2.38, 4 Ni 2.59
Ni: 0.9082 0.4082 0.8165  2 As 2.35, 6 Ni 2.52-2.59, 2 Al 2.52
Ni: 0.4082 0.9082 0.8165  2 As 2.35, 2 Al 2.52, 6 Ni 2.52-2.59
Ni: 0.7500 0.2500 0.5000  4 As 2.38, 4 Ni 2.59
Ni: 0.0918 0.5918 0.1835  2 As 2.35, 6 Ni 2.52-2.59, 2 Al 2.52
As: 0.3304 0.3304 0.6608  8 Ni 2.35-2.38
Ni: 0.5918 0.0918 0.1835  2 As 2.35, 2 Al 2.52, 6 Ni 2.52-2.59
As: 0.6696 0.6696 0.3392  8 Ni 2.35-2.38

Space-group type: I4/mmm

=====

This record from Alexandria via LeMat-Bulk describes a geometry-optimized Al2Ni9As structure. The functional is PBE-GGA.

Lattice parameters (Å, degrees): 3.5627 3.5627 10.7626 90.00 90.00 90.00
With the nearest neighbours (Å) after each atom.
Positions (direct):
Ni: 0.5000 0.5000 0.0000  4 As 2.52, 8 Ni 2.53
Ni: 0.5000 0.0000 0.1673  8 Ni 2.52-2.53, 2 As 2.53, 2 Al 2.55
Ni: 0.0000 0.5000 0.1673  8 Ni 2.52-2.53, 2 As 2.53, 2 Al 2.55
Ni: 0.0000 0.5000 0.5000  4 Al 2.50, 8 Ni 2.52-2.53
Ni: 0.5000 0.5000 0.3326  8 Ni 2.52-2.53, 4 Al 2.52
Ni: 0.5000 0.0000 0.8327  8 Ni 2.52-2.53, 2 As 2.53, 2 Al 2.55
Ni: 0.5000 0.0000 0.5000  4 Al 2.50, 8 Ni 2.52-2.53
Al: 0.0000 0.0000 0.3368  12 Ni 2.50-2.55
As: 0.0000 0.0000 0.0000  12 Ni 2.52-2.53
Ni: 0.0000 0.5000 0.8327  8 Ni 2.52-2.53, 2 As 2.53, 2 Al 2.55
Ni: 0.5000 0.5000 0.6674  8 Ni 2.52-2.53, 4 Al 2.52
Al: 0.0000 0.0000 0.6632  12 Ni 2.50-2.55

Space-group type: P4/mmm

=====

Number 1: energy of formation -3.15 eV/f.u.. Number 2: energy of formation -4.31 eV/f.u..